This record from OQMD via LeMat-Bulk describes a relaxed Cs2Cu2SeS crystal. The functional is GGA-PBE.

## Properties
E_tot (eV/f.u.): -21.21

Cell: 6.808 5.595 12.110 Å, 90.00 90.68 90.00°
Space group P2_1/m (No. 11)
Asymmetric unit:
Cs (0.006, 0.250, 0.165) (multiplicity 2)
Cs (0.471, 0.250, 0.648) (multiplicity 2)
Cu (0.000, 0.000, 0.500) (multiplicity 2)
Cu (0.500, 0.000, 0.000) (multiplicity 2)
Se (0.288, 0.750, 0.088) (multiplicity 2)
S (0.203, 0.750, 0.574) (multiplicity 2)